1.
Here is Ho4Cu2Sb after structural relaxation from Alexandria via LeMat-Bulk. Energies are from PBE.

Cell lengths 7.6974, 7.6974, 7.6886 Å; angles 107.93, 107.93, 112.64 degrees
Last column: nearest neighbours and their distance in Å.
Element x y z (fractional)
Ho: 0.0068 0.9932 0.5000  2 Cu 2.71-2.92
Ho: 0.1100 0.4698 0.8731  2 Cu 2.71-2.92
Ho: 0.3543 0.8670 0.7228  2 Cu 2.71-2.92
Ho: 0.4586 0.5980 0.3495  2 Cu 2.71-2.92
Ho: 0.4698 0.1100 0.3731  2 Cu 2.71-2.92
Ho: 0.5980 0.4586 0.8495  2 Cu 2.71-2.92
Ho: 0.8670 0.3543 0.2228  2 Cu 2.71-2.92
Ho: 0.9932 0.0068 0.0000  2 Cu 2.71-2.92
Cu: 0.1154 0.7311 0.2437  4 Ho 2.71-2.92
Cu: 0.2324 0.3494 0.4785  4 Ho 2.71-2.92
Cu: 0.3494 0.2324 0.9785  4 Ho 2.71-2.92
Cu: 0.7311 0.1154 0.7437  4 Ho 2.71-2.92
Sb: 0.6072 0.8574 0.1116  8 Ho 3.07-3.23
Sb: 0.8574 0.6072 0.6116  8 Ho 3.07-3.23

Calculated volume   175 Å³/f.u.
Uncorrected formation energy   -0.3664 eV per atom

---

2.
Here is HoCu2Sb2 after structural relaxation from Alexandria via LeMat-Bulk. Energies are from PBE.

Cell lengths 11.3120, 11.3120, 4.2981 Å; angles 90.00, 90.00, 158.01 degrees
Last column: nearest neighbours and their distance in Å.
Element x y z (fractional)
Ho: 0.1393 0.8607 0.7500  8 Sb 3.16-3.27, 4 Cu 3.24-3.25
Ho: 0.8607 0.1393 0.2500  8 Sb 3.16-3.27, 4 Cu 3.24-3.25
Cu: 0.0294 0.9706 0.2500  4 Cu 2.52-2.54, 2 Sb 2.68
Cu: 0.4695 0.5305 0.2500  4 Cu 2.54, 2 Sb 2.66
Cu: 0.5305 0.4695 0.7500  4 Cu 2.54, 2 Sb 2.66
Cu: 0.9706 0.0294 0.7500  4 Cu 2.52-2.54, 2 Sb 2.68
Sb: 0.2499 0.7501 0.2500  4 Sb 3.05, 4 Ho 3.26-3.27
Sb: 0.3993 0.6007 0.7500  5 Cu 2.66-2.91
Sb: 0.6007 0.3993 0.2500  5 Cu 2.66-2.91
Sb: 0.7501 0.2499 0.7500  4 Sb 3.05, 4 Ho 3.26-3.27

Calculated volume   103 Å³/f.u.
Uncorrected formation energy   -0.4454 eV per atom

---

3.
Here is Ho8Cu2Sb after structural relaxation from Alexandria via LeMat-Bulk. Energies are from PBE.

Cell lengths 7.9357, 7.9357, 5.3843 Å; angles 98.25, 98.25, 114.09 degrees
Last column: nearest neighbours and their distance in Å.
Element x y z (fractional)
Ho: 0.0808 0.3312 0.5973  2 Cu 2.87-2.95
Ho: 0.2425 0.7575 0.0000  2 Cu 2.82
Ho: 0.3312 0.0808 0.5973  2 Cu 2.87-2.95
Ho: 0.3943 0.3943 0.1988  2 Cu 3.06, 2 Ho 3.16-3.28, 1 Sb 3.29
Ho: 0.6057 0.6057 0.8012  2 Cu 3.06, 2 Ho 3.16-3.28, 1 Sb 3.29
Ho: 0.6688 0.9192 0.4027  2 Cu 2.87-2.95
Ho: 0.7575 0.2425 0.0000  2 Cu 2.82
Ho: 0.9192 0.6688 0.4027  2 Cu 2.87-2.95
Cu: 0.3057 0.6943 0.5000  8 Ho 2.82-3.06
Cu: 0.6943 0.3057 0.5000  8 Ho 2.82-3.06
Sb: 0.0000 0.0000 0.0000  8 Ho 3.23-3.56

Calculated volume   299 Å³/f.u.
Uncorrected formation energy   -0.1671 eV per atom

---

4.
Here is Ho2ScCu9 after structural relaxation from Alexandria via LeMat-Bulk. Energies are from PBE.

Cell lengths 8.8311, 8.8311, 8.8311 Å; angles 33.34, 33.34, 33.34 degrees
Last column: nearest neighbours and their distance in Å.
Element x y z (fractional)
Ho: 0.1383 0.1383 0.1383  12 Cu 2.91-3.19, 3 Ho 3.25
Ho: 0.8617 0.8617 0.8617  12 Cu 2.91-3.19, 3 Ho 3.25
Sc: 0.0000 0.0000 0.0000  18 Cu 2.93-3.25
Cu: 0.0806 0.5818 0.5818  7 Cu 2.49-2.59
Cu: 0.3327 0.3327 0.3327  6 Cu 2.49-2.52
Cu: 0.4182 0.4182 0.9194  7 Cu 2.49-2.59
Cu: 0.4182 0.9194 0.4182  7 Cu 2.49-2.59
Cu: 0.5000 0.5000 0.5000  6 Cu 2.59
Cu: 0.5818 0.0806 0.5818  7 Cu 2.49-2.59
Cu: 0.5818 0.5818 0.0806  7 Cu 2.49-2.59
Cu: 0.6673 0.6673 0.6673  6 Cu 2.49-2.52
Cu: 0.9194 0.4182 0.4182  7 Cu 2.49-2.59

Calculated volume   185 Å³/f.u.
Formation energy from the elements   -0.181 eV/atom
Excess energy over the best structure of this formula in the dataset   0.002 eV per atom

---

For each record above, in turn, the calculated final energy values are -66.4, -46.5, -50.8, -54.5 eV per cell.
For each record above, in turn, the calculated theoretical density values are 8.6, 8.6, 8.7, 8.5 g/cm3.
For each record above, in turn, the calculated DOS(E_F) values are 7.6, 1.7, 16.1, 7.4 states/eV/f.u..